First-principles (PBE with a Hubbard U) data for a relaxed structure of VNi2SnO6, as listed in Alexandria.

```
10
Lattice="5.647 0.000 0.000 0.000 5.647 0.000 0.000 0.000 4.110" Properties=species:S:1:pos:R:3 pbc="T T T"
V 0.000 0.000 0.000
Ni 0.000 2.823 1.018
Ni 2.823 0.000 1.018
Sn 2.823 2.823 0.166
O 0.000 0.000 2.453
O 1.366 1.366 0.503
O 1.366 4.281 0.503
O 2.823 2.823 2.305
O 4.281 1.366 0.503
O 4.281 4.281 0.503
```

Total energy   -5.82 eV per atom